Here is a PBEsol-optimized structure of TaAsP2 from Alexandria. Energies are from meta-GGA SCAN.

Output
Raw total energy = -26.6683 eV/atom
Calculated formation energy = 225 meV per atom
Total magnetization = 0.00 μB/f.u.

a b c (Å): 5.2549 7.6769 3.6504
angles (deg): 90.00 117.57 90.00
With the nearest neighbours (Å) after each atom.
Space group C2/m (No. 12)
Symmetry-distinct sites (fractional):
Ta  0.0000  0.0000  0.0000 [2 per cell]  4 P 2.55, 2 As 2.63
As  0.0000  0.5000  0.0000 [2 per cell]  4 P 2.55, 2 Ta 2.63
P  0.2500  0.2500  0.5000 [4 per cell]  2 Ta 2.55, 2 As 2.55, 2 P 2.63